(1)
Compound: YPW2
Source: Alexandria
Functional: PBE
Structure: optimized geometry

Computed properties:
E   -0.33591 Ha/atom
Fermi-level density of states   0.67 states/eV per atom
Calculated formation energy   0.304 eV/atom
Crystal system   orthorhombic
Magnetic moment   0.00 μB/cell

Cell lengths 5.2472, 5.2472, 5.2472 Å; angles 141.93, 123.70, 70.00 degrees
Element x y z (fractional)
Y 0.0000 0.0000 0.0000
P 0.2636 0.7636 0.5000
W 0.4806 0.4806 0.0000
W 0.7157 0.2157 0.5000

(2)
Compound: Cd2PAu
Source: Alexandria
Functional: PBE
Structure: optimized geometry

Computed properties:
E   -0.09217 Ha/atom
Fermi-level density of states   0.41 states/eV per atom
Calculated formation energy   0.121 eV/atom
Crystal system   orthorhombic
Magnetic moment   0.00 μB/cell

Cell lengths 2.9013, 3.8216, 7.4187 Å; angles 90.00, 90.00, 90.00 degrees
Element x y z (fractional)
Cd 0.0000 0.0000 0.2420
Cd 0.0000 0.0000 0.7580
P 0.0000 0.5000 0.5000
Au 0.5000 0.5000 0.0000

(3)
Compound: Rb2CrOs
Source: Alexandria
Functional: PBE
Structure: optimized geometry

Computed properties:
E   -0.15861 Ha/atom
Energy relative to the lowest polymorph listed for this composition   0 meV/atom
Fermi-level density of states   1.33 states/eV per atom
Calculated formation energy   1.381 eV/atom
Crystal system   tetragonal
Magnetic moment   5.93 μB/cell

Cell lengths 9.6578, 9.6578, 9.6578 Å; angles 93.27, 93.27, 152.37 degrees
Element x y z (fractional)
Rb 0.3750 0.0616 0.1866
Rb 0.8116 0.6250 0.6866
Rb 0.8750 0.1884 0.8134
Rb 0.9384 0.1250 0.3134
Cr 0.0000 0.0000 0.0000
Cr 0.7500 0.2500 0.5000
Os 0.2500 0.7500 0.5000
Os 0.5000 0.5000 0.0000

What is the Fermi-level density of states in the third record?
1.33 states/eV per atom